(1)
A plane-wave DFT calculation with PBE+U was carried out for a relaxed VCdCuO4 crystal.

## Properties
SG	No. 63
volume	13.13	Å³ per atom
calculated total energy	-83.3	eV for the cell shown

Lattice parameters (Å, degrees): 5.5178 5.5178 6.5631 90.00 90.00 113.06
Positions (direct):
V1 0.3658 0.6342 0.2500
V2 0.6342 0.3658 0.7500
Cd1 0.0000 0.0000 0.0000
Cd2 0.0000 0.0000 0.5000
Cu1 0.6950 0.3050 0.2500
Cu2 0.3050 0.6950 0.7500
O1 0.2585 0.7415 0.0309
O2 0.7415 0.2585 0.5309
O3 0.7415 0.2585 0.9691
O4 0.2585 0.7415 0.4691
O5 0.2476 0.2838 0.2500
O6 0.7524 0.7162 0.7500
O7 0.7162 0.7524 0.2500
O8 0.2838 0.2476 0.7500

(2)
A plane-wave DFT calculation with PBE+U was carried out for a relaxed V2CdCuO6 crystal.

## Properties
SG	No. 15
volume	13.38	Å³ per atom
calculated total energy	-128.6	eV for the cell shown

Lattice parameters (Å, degrees): 6.0144 7.0305 7.0305 94.85 73.13 73.13
Site moments in Bohr magnetons follow the coordinates.
Positions (direct):
V1 0.3128 0.7349 0.5657  0.74
V2 0.1872 0.4343 0.2651  0.74
V3 0.6872 0.2651 0.4343  0.74
V4 0.8128 0.5657 0.7349  0.74
Cd1 0.2500 0.9088 0.0912  0.00
Cd2 0.7500 0.0912 0.9088  0.00
Cu1 0.2500 0.2216 0.7784  -0.20
Cu2 0.7500 0.7784 0.2216  -0.20
O1 0.1713 0.9396 0.7811  -0.05
O2 0.3287 0.2189 0.0604  -0.05
O3 0.8287 0.0604 0.2189  -0.05
O4 0.6713 0.7811 0.9396  -0.05
O5 0.4052 0.8536 0.3614  -0.06
O6 0.0948 0.6386 0.1464  -0.06
O7 0.5948 0.1464 0.6386  -0.06
O8 0.9052 0.3614 0.8536  -0.06
O9 0.0384 0.6629 0.5657  -0.05
O10 0.4616 0.4343 0.3371  -0.05
O11 0.9616 0.3371 0.4343  -0.05
O12 0.5384 0.5657 0.6629  -0.05

Among the records above, which one has the highest calculated total energy? VCdCuO4

Look up the volume of the first one. 13.13 Å³ per atom